1.
The following is a GGA-PBE calculation of a relaxed structure of Tb2Sm6Tm, from the Alexandria database.

It has space group Cmmm (No. 65), with a = 9.352 Å, b = 17.587 Å, c = 3.638 Å, α = 90.00°, β = 90.00° and γ = 90.00°. The asymmetric unit holds Tb at (0.000, 0.178, 0.000), Sm at (0.176, 0.335, 0.500), Sm at (0.185, 0.500, 0.000) and Tm at (0.000, 0.000, 0.500).

The value obtained for the energy above the most stable polymorph in this dataset is 0.1167 eV per atom.

2.
The following is a GGA-PBE calculation of a relaxed structure of Tb2SmTm, from the Alexandria database.

It has space group R-3m (No. 166, hexagonal axes), with a = 3.5592 Å, b = 3.5592 Å, c = 34.8005 Å, α = 90.00°, β = 90.00° and γ = 120.00°. The asymmetric unit holds Tb at (0.0000, 0.0000, 0.2486), Sm at (0.0000, 0.0000, 0.0000) and Tm at (0.0000, 0.0000, 0.5000).

The value obtained for the energy above the most stable polymorph in this dataset is 0.0074 eV per atom.

3.
The following is a GGA-PBE calculation of a relaxed structure of Tb3SmTm12, from the Alexandria database.

It has space group P4/mmm (No. 123), with a = 4.961 Å, b = 4.961 Å, c = 19.861 Å, α = 90.00°, β = 90.00° and γ = 90.00°. The asymmetric unit holds Tb at (0.000, 0.000, 0.000), Tb at (0.000, 0.000, 0.250), Sm at (0.000, 0.000, 0.500), Tm at (0.000, 0.500, 0.125), Tm at (0.000, 0.500, 0.374), Tm at (0.500, 0.500, 0.000), Tm at (0.500, 0.500, 0.249) and Tm at (0.500, 0.500, 0.500).

4.
The following is a GGA-PBE calculation of a relaxed structure of Tb5Sm2Tm, from the Alexandria database.

It has space group P2_1/m (No. 11), with a = 5.899 Å, b = 10.753 Å, c = 8.655 Å, α = 90.00°, β = 106.73° and γ = 90.00°. The asymmetric unit holds Tb at (0.206, 0.088, 0.370), Tb at (0.252, 0.750, 0.449), Tb at (0.288, 0.084, 0.761), Sm at (0.164, 0.607, 0.049) and Tm at (0.445, 0.250, 0.122).

The value obtained for the energy above the most stable polymorph in this dataset is 0.1644 eV per atom.

5.
The following is a GGA-PBE calculation of a relaxed structure of TbSm5Tm4, from the Alexandria database.

It has space group I4 (No. 79), with a = 10.191 Å, b = 10.191 Å, c = 6.308 Å, α = 90.00°, β = 90.00° and γ = 90.00°. The asymmetric unit holds Tb at (0.000, 0.000, 0.000), Sm at (0.000, 0.000, 0.458), Sm at (0.146, 0.766, 0.728) and Tm at (0.049, 0.653, 0.227).

The value obtained for the energy above the most stable polymorph in this dataset is 0.2622 eV per atom.

6.
The following is a GGA-PBE calculation of a relaxed structure of Tb4Sm4Tm3, from the Alexandria database.

It has space group P-1 (No. 2), with a = 3.523 Å, b = 5.629 Å, c = 18.046 Å, α = 98.97°, β = 95.59° and γ = 90.00°. The asymmetric unit holds Tb at (0.045, 0.046, 0.091), Tb at (0.179, 0.680, 0.360), Sm at (0.090, 0.590, 0.180), Sm at (0.233, 0.232, 0.465), Tm at (0.365, 0.864, 0.729) and Tm at (0.500, 0.500, 0.000).

The value obtained for the energy above the most stable polymorph in this dataset is 0.0187 eV per atom.

7.
The following is a GGA-PBE calculation of a relaxed structure of Tb6SmTm2, from the Alexandria database.

It has space group C2/c (No. 15), with a = 12.756 Å, b = 14.178 Å, c = 6.564 Å, α = 90.00°, β = 103.60° and γ = 90.00°. The asymmetric unit holds Tb at (0.036, 0.184, 0.002), Tb at (0.136, 0.413, 0.820), Tb at (0.238, 0.200, 0.726), Sm at (0.000, 0.378, 0.250) and Tm at (0.140, 0.023, 0.366).

The value obtained for the energy above the most stable polymorph in this dataset is 0.0900 eV per atom.

8.
The following is a GGA-PBE calculation of a relaxed structure of Tb4Sm3Tm3, from the Alexandria database.

It has space group Amm2 (No. 38), with a = 3.698 Å, b = 13.185 Å, c = 13.249 Å, α = 90.00°, β = 90.00° and γ = 90.00°. The asymmetric unit holds Tb at (0.000, 0.000, 0.000), Tb at (0.000, 0.000, 0.256), Tb at (0.000, 0.127, 0.631), Sm at (0.500, 0.000, 0.457), Sm at (0.500, 0.172, 0.128), Tm at (0.000, 0.247, 0.877) and Tm at (0.500, 0.000, 0.801).

9.
The following is a GGA-PBE calculation of a relaxed structure of Tb4Sm2Tm5, from the Alexandria database.

It has space group C2/m (No. 12), with a = 23.785 Å, b = 3.512 Å, c = 8.528 Å, α = 90.00°, β = 94.65° and γ = 90.00°. The asymmetric unit holds Tb at (0.040, 0.000, 0.341), Tb at (0.088, 0.500, 0.692), Sm at (0.224, 0.500, 0.827), Tm at (0.000, 0.500, 0.000), Tm at (0.129, 0.000, 0.047) and Tm at (0.185, 0.000, 0.472).

The value obtained for the energy above the most stable polymorph in this dataset is 0.0868 eV per atom.

10.
The following is a GGA-PBE calculation of a relaxed structure of Tb9Sm2Tm, from the Alexandria database.

It has space group P4/mmm (No. 123), with a = 5.042 Å, b = 5.042 Å, c = 15.126 Å, α = 90.00°, β = 90.00° and γ = 90.00°. The asymmetric unit holds Tb at (0.000, 0.000, 0.000), Tb at (0.000, 0.000, 0.332), Tb at (0.000, 0.500, 0.165), Tb at (0.000, 0.500, 0.500), Sm at (0.500, 0.500, 0.332) and Tm at (0.500, 0.500, 0.000).

The value obtained for the energy above the most stable polymorph in this dataset is 0.0000 eV per atom.

11.
The following is a GGA-PBE calculation of a relaxed structure of Tb8Sm5Tm, from the Alexandria database.

It has space group I-4 (No. 82), with a = 9.627 Å, b = 9.627 Å, c = 10.096 Å, α = 90.00°, β = 90.00° and γ = 90.00°. The asymmetric unit holds Tb at (0.070, 0.325, 0.093), Tb at (0.086, 0.177, 0.753), Sm at (0.000, 0.000, 0.000), Sm at (0.109, 0.212, 0.422) and Tm at (0.000, 0.500, 0.750).

12.
The following is a GGA-PBE calculation of a relaxed structure of Tb2Sm5Tm, from the Alexandria database.

It has space group Pbam (No. 55), with a = 7.193 Å, b = 14.393 Å, c = 5.072 Å, α = 90.00°, β = 90.00° and γ = 90.00°. The asymmetric unit holds Tb at (0.250, 0.124, 0.000), Sm at (0.000, 0.000, 0.500), Sm at (0.000, 0.251, 0.500), Sm at (0.250, 0.376, 0.000) and Tm at (0.000, 0.500, 0.500).

The evaluated calculated formation energy for the records listed, in turn: 0.1335; 0.0196; 0.0245; 0.1802; 0.3017; 0.0604; 0.1071; 0.1045; 0.1065; 0.0200; 0.2489; 0.0162 eV per atom.
The evaluated density for the records listed, in turn: 7.709; 8.314; 9.019; 7.985; 8.043; 8.231; 8.300; 8.192; 8.332; 8.204; 7.782; 7.834 g/cm³.
The evaluated Fermi-level density of states for the records listed, in turn: 1.325; 1.370; 1.340; 1.494; 1.538; 1.767; 1.234; 0.822; 1.553; 1.541; 1.385; 1.352 states/eV per atom.